No. 1
# NdGaCo4 | Alexandria | PBE-GGA | relaxed
# E_tot: -146.47 eV per cell
# Formation enthalpy at 0 K: -0.066 eV per atom
# M_tot: 18.2 Bohr magnetons per cell
# Fermi-level density of states: 35.57 states/eV/cell
data_NdGaCo4
_chemical_formula_sum 'Nd4 Ga4 Co16'
_cell_length_a 7.034
_cell_length_b 7.034
_cell_length_c 7.034
_cell_angle_alpha 90.00
_cell_angle_beta 90.00
_cell_angle_gamma 90.00
_space_group_name_H-M_alt 'F -4 3 m'
_space_group_IT_number 216
_space_group_name_Hall 'F -4 2 3'
loop_
_atom_site_label
_atom_site_type_symbol
_atom_site_fract_x
_atom_site_fract_y
_atom_site_fract_z
Nd1 Nd 0.000 0.000 0.000
Ga1 Ga 0.250 0.250 0.250
Co1 Co 0.123 0.123 0.623

***

No. 2
# UGeRh6 | Alexandria | PBE-GGA | relaxed
# E_tot: -127.32 eV per cell
# Formation enthalpy at 0 K: -0.456 eV per atom
# M_tot: 0.0 Bohr magnetons per cell
# Fermi-level density of states: 13.60 states/eV/cell
data_UGeRh6
_chemical_formula_sum 'U2 Ge2 Rh12'
_cell_length_a 7.786
_cell_length_b 7.937
_cell_length_c 3.968
_cell_angle_alpha 90.00
_cell_angle_beta 90.00
_cell_angle_gamma 90.00
_space_group_name_H-M_alt 'C m m m'
_space_group_IT_number 65
_space_group_name_Hall '-C 2 2'
loop_
_atom_site_label
_atom_site_type_symbol
_atom_site_fract_x
_atom_site_fract_y
_atom_site_fract_z
U1 U 0.000 0.000 0.000
Ge1 Ge 0.000 0.500 0.000
Rh1 Rh 0.000 0.243 0.500
Rh2 Rh 0.242 0.500 0.500
Rh3 Rh 0.250 0.250 0.000

***

> Fermi-level density of states of number 2 (UGeRh6)?

13.60 states/eV/cell